Material: CaZrCo2
Method: DFT, GGA-PBE
State: optimized geometry

```
4
Lattice="-3.501 -1.502 -2.598 1.988 -2.031 -1.504 -0.939 -3.244 3.140" Properties=species:S:1:pos:R:3 pbc="T T T"
Co -0.573 -3.092 2.560
Co -1.854 -2.222 -0.309
Zr 0.890 -2.486 0.238
Ca -1.329 -4.859 0.509
```

Summary:
* space group: P4/mmm, No. 123
* ΔH_f (0 K): 0.1044 eV per atom
* total energy: -24.344 eV for the cell shown